1.
TlCd2Sn: relaxed, PBE.

Cell: 3.5698 3.5698 9.9726 Å, 79.69 79.69 60.00°
With the nearest neighbours (Å) after each atom.
Fractional coordinates of all 4 atoms:
Tl  0.6665  0.6665  0.0005  6 Cd 3.22-3.23, 6 Tl 3.57
Cd  0.0849  0.0849  0.7453  3 Sn 3.16, 3 Tl 3.23
Cd  0.2485  0.2485  0.2546  3 Sn 3.16, 3 Tl 3.22
Sn  0.5001  0.5001  0.4996  6 Cd 3.16

Electronic total energy   -7.9 eV per cell
DOS(E_F)   0.366 states/eV per atom
Relative energy among the computed polymorphs   0.0382 eV per atom

***

2.
Tl2CdSn: relaxed, PBE.

Cell: 3.2438 5.3340 6.6022 Å, 90.00 92.70 90.00°
With the nearest neighbours (Å) after each atom.
Fractional coordinates of all 4 atoms:
Tl  0.0848  0.5000  0.2502  4 Tl 3.24-3.37, 2 Cd 3.38, 4 Sn 3.44-3.63
Tl  0.9152  0.5000  0.7498  4 Tl 3.24-3.37, 2 Cd 3.38, 4 Sn 3.44-3.63
Sn  0.5000  0.0000  0.0000  2 Sn 3.24, 2 Cd 3.30, 8 Tl 3.44-3.63
Cd  0.5000  0.0000  0.5000  2 Cd 3.24, 2 Sn 3.30, 4 Tl 3.38

Electronic total energy   -9.5 eV per cell
DOS(E_F)   0.369 states/eV per atom
Relative energy among the computed polymorphs   0.0275 eV per atom

***

3.
Tl3CdSn: relaxed, PBE.

Cell: 5.9449 5.9449 5.9449 Å, 90.00 90.00 90.00°
With the nearest neighbours (Å) after each atom.
Fractional coordinates of all 5 atoms:
Tl  0.0000  0.5000  0.0000  2 Sn 2.97
Tl  0.0000  0.0000  0.5000  2 Sn 2.97
Tl  0.5000  0.0000  0.0000  2 Sn 2.97
Sn  0.0000  0.0000  0.0000  6 Tl 2.97
Cd  0.5000  0.5000  0.5000  12 Tl 4.20

Electronic total energy   -10.2 eV per cell
DOS(E_F)   0.686 states/eV per atom
Relative energy among the computed polymorphs   0.3190 eV per atom

***

4.
Tl2CdSn: relaxed, PBE.

Cell: 6.6181 6.7478 5.8956 Å, 92.96 92.70 119.10°
With the nearest neighbours (Å) after each atom.
Fractional coordinates of all 8 atoms:
Tl  0.6921  0.0704  0.5892  3 Cd 3.30-3.49, 3 Sn 3.33-3.50, 4 Tl 3.42-3.58
Tl  0.3224  0.2407  0.8539  3 Sn 3.33-3.45, 3 Cd 3.36-3.55, 4 Tl 3.40-3.56
Tl  0.5560  0.5073  0.3827  3 Cd 3.27-3.52, 3 Sn 3.31-3.49, 4 Tl 3.40-3.58
Tl  0.9293  0.3463  0.1168  3 Cd 3.24-3.49, 3 Sn 3.36-3.56, 4 Tl 3.42-3.54
Sn  0.1070  0.9701  0.3388  2 Cd 3.06-3.11, 1 Sn 3.12, 2 Tl 3.33-3.38
Sn  0.4246  0.8327  0.0762  2 Cd 3.07-3.21, 1 Sn 3.12, 4 Tl 3.31-3.44
Cd  0.8203  0.7389  0.8862  2 Sn 3.06-3.21, 1 Cd 3.12, 5 Tl 3.27-3.42
Cd  0.1395  0.6072  0.6189  2 Sn 3.07-3.11, 1 Cd 3.12, 2 Tl 3.24-3.37

Electronic total energy   -18.9 eV per cell
DOS(E_F)   0.336 states/eV per atom
Relative energy among the computed polymorphs   0.0222 eV per atom

***

5.
Tl3Cd2Sn4: relaxed, PBE.

Cell: 5.0627 7.8401 7.0777 Å, 73.03 90.00 108.84°
With the nearest neighbours (Å) after each atom.
Fractional coordinates of all 9 atoms:
Tl  0.5593  0.1187  0.6654  3 Tl 3.34-3.39, 4 Sn 3.37-3.47, 3 Cd 3.40-3.46
Tl  0.0000  0.0000  0.0000  2 Cd 3.38, 4 Tl 3.39, 6 Sn 3.40-3.61
Tl  0.4407  0.8813  0.3346  3 Tl 3.34-3.39, 4 Sn 3.37-3.47, 3 Cd 3.40-3.46
Cd  0.7812  0.5625  0.3355  6 Sn 3.10-3.46, 2 Cd 3.37, 4 Tl 3.38-3.46
Cd  0.2188  0.4375  0.6645  6 Sn 3.10-3.46, 2 Cd 3.37, 4 Tl 3.38-3.46
Sn  0.6709  0.3417  0.0150  3 Cd 3.18-3.46, 5 Sn 3.18-3.42, 2 Tl 3.37-3.47
Sn  0.3291  0.6583  0.9850  3 Cd 3.18-3.46, 5 Sn 3.18-3.42, 2 Tl 3.37-3.47
Sn  0.8708  0.7415  0.6777  3 Cd 3.10-3.41, 3 Sn 3.18-3.27, 3 Tl 3.40-3.44
Sn  0.1292  0.2585  0.3223  3 Cd 3.10-3.41, 3 Sn 3.18-3.27, 3 Tl 3.40-3.44

Electronic total energy   -24.6 eV per cell
DOS(E_F)   0.418 states/eV per atom

***

6.
Tl3Cd8Sn: relaxed, PBE.

Cell: 6.0655 6.0655 10.3898 Å, 73.03 73.03 60.00°
With the nearest neighbours (Å) after each atom.
Fractional coordinates of all 12 atoms:
Tl  0.3748  0.3748  0.8757  12 Cd 3.53-3.56, 4 Tl 3.67-3.71
Tl  0.9997  0.9997  0.0008  12 Cd 3.54-3.56, 1 Sn 3.65, 3 Tl 3.71
Tl  0.5000  0.5000  0.5001  12 Cd 3.51-3.55, 1 Tl 3.67, 3 Sn 3.71
Cd  0.9366  0.4373  0.1888  6 Cd 3.00-3.04
Cd  0.4386  0.9377  0.6860  6 Cd 3.00-3.04
Cd  0.4373  0.4373  0.1888  6 Cd 3.00-3.04
Cd  0.9377  0.9377  0.6860  6 Cd 3.00-3.04
Cd  0.1874  0.1874  0.4377  6 Cd 3.00
Cd  0.6875  0.6875  0.9375  6 Cd 3.02
Cd  0.4373  0.9366  0.1888  6 Cd 3.00-3.04
Cd  0.9377  0.4386  0.6860  6 Cd 3.00-3.04
Sn  0.8754  0.8754  0.3738  12 Cd 3.52-3.56, 4 Tl 3.65-3.71

Electronic total energy   -18.0 eV per cell
DOS(E_F)   0.434 states/eV per atom

***

7.
Tl2CdSn: relaxed, PBE.

Cell: 6.7054 11.3450 6.7914 Å, 90.00 118.65 90.00°
With the nearest neighbours (Å) after each atom.
Fractional coordinates of all 16 atoms:
Tl  0.0375  0.7392  0.0492  2 Cd 3.26-3.30, 5 Tl 3.36-3.60, 4 Sn 3.37-3.45
Tl  0.5375  0.2608  0.5492  2 Cd 3.26-3.30, 5 Tl 3.36-3.60, 4 Sn 3.37-3.45
Tl  0.0375  0.2392  0.5492  2 Cd 3.26-3.30, 5 Tl 3.36-3.60, 4 Sn 3.37-3.45
Tl  0.5375  0.7608  0.0492  2 Cd 3.26-3.30, 5 Tl 3.36-3.60, 4 Sn 3.37-3.45
Tl  0.3423  0.0016  0.2578  4 Cd 3.29-3.48, 5 Tl 3.43-3.60, 3 Sn 3.53-3.54
Tl  0.8423  0.9984  0.7578  4 Cd 3.29-3.48, 5 Tl 3.43-3.60, 3 Sn 3.53-3.54
Tl  0.3423  0.5016  0.7578  4 Cd 3.29-3.48, 5 Tl 3.43-3.60, 3 Sn 3.53-3.54
Tl  0.8423  0.4984  0.2578  4 Cd 3.29-3.48, 5 Tl 3.43-3.60, 3 Sn 3.53-3.54
Sn  0.0411  0.2678  0.0451  2 Cd 3.20-3.21, 7 Tl 3.37-3.54, 2 Sn 3.38
Sn  0.5411  0.7322  0.5451  2 Cd 3.20-3.21, 7 Tl 3.37-3.54, 2 Sn 3.38
Sn  0.0411  0.7678  0.5451  2 Cd 3.20-3.21, 7 Tl 3.37-3.54, 2 Sn 3.38
Sn  0.5411  0.2322  0.0451  2 Cd 3.20-3.21, 7 Tl 3.37-3.54, 2 Sn 3.38
Cd  0.8470  0.0012  0.2472  2 Sn 3.20-3.21, 6 Tl 3.26-3.48, 2 Cd 3.44
Cd  0.3470  0.9988  0.7472  2 Sn 3.20-3.21, 6 Tl 3.26-3.48, 2 Cd 3.44
Cd  0.8470  0.5012  0.7472  2 Sn 3.20-3.21, 6 Tl 3.26-3.48, 2 Cd 3.44
Cd  0.3470  0.4988  0.2472  2 Sn 3.20-3.21, 6 Tl 3.26-3.48, 2 Cd 3.44

Electronic total energy   -37.9 eV per cell
DOS(E_F)   0.307 states/eV per atom
Relative energy among the computed polymorphs   0.0220 eV per atom

***

8.
TlCdSn2: relaxed, PBE.

Cell: 3.3490 3.3490 11.7055 Å, 81.78 81.78 60.00°
With the nearest neighbours (Å) after each atom.
Fractional coordinates of all 4 atoms:
Tl  0.0000  0.0000  0.0000  2 Sn 3.20, 6 Tl 3.35
Sn  0.0923  0.0923  0.7230  1 Tl 3.20, 3 Cd 3.22, 6 Sn 3.35
Sn  0.9077  0.9077  0.2770  1 Tl 3.20, 3 Cd 3.22, 6 Sn 3.35
Cd  0.5000  0.5000  0.5000  6 Sn 3.22, 6 Cd 3.35

Electronic total energy   -10.9 eV per cell
DOS(E_F)   0.654 states/eV per atom
Relative energy among the computed polymorphs   0.0393 eV per atom

***

9.
TlCd2Sn: relaxed, PBE.

Cell: 4.5806 4.7860 4.7860 Å, 90.00 90.00 90.00°
With the nearest neighbours (Å) after each atom.
Fractional coordinates of all 4 atoms:
Tl  0.5000  0.5000  0.5000  8 Cd 3.31, 4 Sn 3.38
Sn  0.5000  0.0000  0.0000  8 Cd 3.31, 4 Tl 3.38
Cd  0.0000  0.0000  0.5000  4 Tl 3.31, 4 Sn 3.31, 4 Cd 3.38
Cd  0.0000  0.5000  0.0000  4 Sn 3.31, 4 Tl 3.31, 4 Cd 3.38

Electronic total energy   -7.9 eV per cell
DOS(E_F)   0.710 states/eV per atom
Relative energy among the computed polymorphs   0.0393 eV per atom

***

10.
TlCdSn: relaxed, PBE.

Cell: 5.2526 5.5683 6.6546 Å, 111.07 92.35 111.69°
With the nearest neighbours (Å) after each atom.
Fractional coordinates of all 6 atoms:
Tl  0.1732  0.3530  0.5908  4 Cd 3.28-3.47, 2 Tl 3.30-3.37, 4 Sn 3.33-3.56
Tl  0.8268  0.6470  0.4092  4 Cd 3.28-3.47, 2 Tl 3.30-3.37, 4 Sn 3.33-3.56
Sn  0.5470  0.0464  0.7654  4 Cd 3.07-3.30, 2 Tl 3.33-3.41, 2 Sn 3.37
Sn  0.4530  0.9536  0.2346  4 Cd 3.07-3.30, 2 Tl 3.33-3.41, 2 Sn 3.37
Cd  0.1705  0.3075  0.0690  1 Cd 2.97, 4 Sn 3.07-3.30, 1 Tl 3.28
Cd  0.8295  0.6925  0.9310  1 Cd 2.97, 4 Sn 3.07-3.30, 1 Tl 3.28

Electronic total energy   -14.3 eV per cell
DOS(E_F)   0.399 states/eV per atom
Relative energy among the computed polymorphs   0.0231 eV per atom

***

Number 1: magnetization 0.00 μB/f.u., energy of formation 0.074 eV/atom, density 8.45 g/cm3. Number 2: magnetization 0.00 μB/f.u., energy of formation 0.050 eV/atom, density 9.31 g/cm3. Number 3: magnetization 0.00 μB/f.u., energy of formation 0.355 eV/atom, density 6.67 g/cm3. Number 4: magnetization 0.00 μB/f.u., energy of formation 0.045 eV/atom, density 9.28 g/cm3. Number 5: magnetization 0.00 μB/f.u., energy of formation 0.043 eV/atom, density 8.62 g/cm3. Number 6: magnetization 0.00 μB/f.u., energy of formation 0.039 eV/atom, density 8.69 g/cm3. Number 7: magnetization 0.00 μB/f.u., energy of formation 0.045 eV/atom, density 9.37 g/cm3. Number 8: magnetization 0.00 μB/f.u., energy of formation 0.093 eV/atom, density 8.21 g/cm3. Number 9: magnetization 0.00 μB/f.u., energy of formation 0.075 eV/atom, density 8.67 g/cm3. Number 10: magnetization 0.00 μB/f.u., energy of formation 0.049 eV/atom, density 8.75 g/cm3.